A relaxed NaDy2Np3Se6 crystal, computed with PBE.

The structure in POSCAR format:
```
NaDy2Np3Se6
1.0
8.967 -2.046 0.000
8.967 2.046 0.000
-1.883 0.000 8.037
Na Dy Np Se
1 2 3 6
direct
0.000 0.000 0.000
0.332 0.332 0.663
0.668 0.668 0.337
0.000 0.000 0.500
0.334 0.334 0.166
0.666 0.666 0.834
0.167 0.167 0.086
0.167 0.167 0.582
0.498 0.498 0.748
0.502 0.502 0.252
0.833 0.833 0.418
0.833 0.833 0.914
```

As for the crystal system: monoclinic. As for the space-group type: C2/m (12). The value obtained for the electronic total energy is -7.185 eV/atom.